No. 1
# CsLaMgCl6 | Alexandria | PBE | optimized geometry
# - formation energy without anion corrections (eV per atom) = -2.1431
data_CsLaMgCl6
_chemical_formula_sum 'Cs2 La2 Mg2 Cl12'
_cell_length_a 7.0508
_cell_length_b 7.0508
_cell_length_c 15.3090
_cell_angle_alpha 90.00
_cell_angle_beta 90.00
_cell_angle_gamma 120.00
_space_group_name_H-M_alt 'P -3 1 c'
_space_group_IT_number 163
_space_group_name_Hall '-P 3 2c'
loop_
_atom_site_label
_atom_site_fract_x
_atom_site_fract_y
_atom_site_fract_z
Cs1 0.0000 0.0000 0.0000
La1 0.3333 0.6667 0.2500
Mg1 0.3333 0.6667 0.7500
Cl1 0.0274 0.3909 0.6520

No. 2
# CuNiAsRu | Alexandria | PBE | optimized geometry
# - DFT formation energy (eV/atom) = 0.009
data_CuNiAsRu
_chemical_formula_sum 'Cu4 Ni4 As4 Ru4'
_cell_length_a 5.908
_cell_length_b 5.908
_cell_length_c 5.908
_cell_angle_alpha 90.00
_cell_angle_beta 90.00
_cell_angle_gamma 90.00
_space_group_name_H-M_alt 'F -4 3 m'
_space_group_IT_number 216
_space_group_name_Hall 'F -4 2 3'
loop_
_atom_site_label
_atom_site_fract_x
_atom_site_fract_y
_atom_site_fract_z
Cu1 0.000 0.000 0.000
Ni1 0.250 0.250 0.750
As1 0.000 0.000 0.500
Ru1 0.250 0.250 0.250

No. 3
# ReH2Cl6 | Alexandria | PBE | optimized geometry
# - VASP energy (eV for the cell shown) = -140.293
data_ReH2Cl6
_chemical_formula_sum 'Re4 H8 Cl24'
_cell_length_a 14.222
_cell_length_b 12.175
_cell_length_c 6.103
_cell_angle_alpha 90.00
_cell_angle_beta 94.16
_cell_angle_gamma 90.00
_space_group_name_H-M_alt 'C 1 2/c 1'
_space_group_IT_number 15
_space_group_name_Hall '-C 2yc'
loop_
_atom_site_label
_atom_site_fract_x
_atom_site_fract_y
_atom_site_fract_z
Re1 0.000 0.083 0.250
H1 0.129 0.476 0.776
Cl1 0.094 0.066 0.591
Cl2 0.100 0.210 0.124
Cl3 0.132 0.414 0.603

No. 4
# Fe2IrCl | Alexandria | PBE | optimized geometry
# - formation energy without anion corrections (eV per atom) = 0.4910
data_Fe2IrCl
_chemical_formula_sum 'Fe4 Ir2 Cl2'
_cell_length_a 5.418
_cell_length_b 7.531
_cell_length_c 2.837
_cell_angle_alpha 90.00
_cell_angle_beta 90.00
_cell_angle_gamma 90.00
_space_group_name_H-M_alt 'C m m m'
_space_group_IT_number 65
_space_group_name_Hall '-C 2 2'
loop_
_atom_site_label
_atom_site_fract_x
_atom_site_fract_y
_atom_site_fract_z
Fe1 0.250 0.250 0.000
Ir1 0.000 0.000 0.500
Cl1 0.000 0.500 0.500

No. 5
# Na2In4Pd | Alexandria | PBE | optimized geometry
# - DFT formation energy (eV/atom) = -0.042
data_Na2In4Pd
_chemical_formula_sum 'Na4 In8 Pd2'
_cell_length_a 5.166
_cell_length_b 5.166
_cell_length_c 16.059
_cell_angle_alpha 90.00
_cell_angle_beta 90.00
_cell_angle_gamma 90.00
_space_group_name_H-M_alt 'I 4/m m m'
_space_group_IT_number 139
_space_group_name_Hall '-I 4 2'
loop_
_atom_site_label
_atom_site_fract_x
_atom_site_fract_y
_atom_site_fract_z
Na1 0.000 0.000 0.139
In1 0.000 0.000 0.330
In2 0.000 0.500 0.000
Pd1 0.000 0.000 0.500

No. 6
# La5TbIn4 | Alexandria | PBE | optimized geometry
# - DFT formation energy (eV/atom) = -0.385
data_La5TbIn4
_chemical_formula_sum 'La5 Tb1 In4'
_cell_length_a 3.694
_cell_length_b 3.694
_cell_length_c 23.128
_cell_angle_alpha 90.00
_cell_angle_beta 90.00
_cell_angle_gamma 90.00
_space_group_name_H-M_alt 'P 4/m m m'
_space_group_IT_number 123
_space_group_name_Hall '-P 4 2'
loop_
_atom_site_label
_atom_site_fract_x
_atom_site_fract_y
_atom_site_fract_z
La1 0.000 0.000 0.000
La2 0.000 0.000 0.194
La3 0.000 0.000 0.387
Tb1 0.500 0.500 0.500
In1 0.500 0.500 0.097
In2 0.500 0.500 0.291

No. 7
# Ac2TbPmHo | Alexandria | PBE | optimized geometry
# - DFT formation energy (eV/atom) = 0.271
data_Ac2TbPmHo
_chemical_formula_sum 'Ac4 Tb2 Pm2 Ho2'
_cell_length_a 6.437
_cell_length_b 8.977
_cell_length_c 6.712
_cell_angle_alpha 90.00
_cell_angle_beta 90.00
_cell_angle_gamma 90.00
_space_group_name_H-M_alt 'P m m a'
_space_group_IT_number 51
_space_group_name_Hall '-P 2a 2a'
loop_
_atom_site_label
_atom_site_fract_x
_atom_site_fract_y
_atom_site_fract_z
Ac1 0.250 0.203 0.211
Tb1 0.250 0.000 0.682
Pm1 0.250 0.500 0.918
Ho1 0.000 0.500 0.500

No. 8
# La2InTe | Alexandria | PBE | optimized geometry
# - formation energy without anion corrections (eV per atom) = -0.3666
data_La2InTe
_chemical_formula_sum 'La6 In3 Te3'
_cell_length_a 4.0336
_cell_length_b 4.0336
_cell_length_c 29.5827
_cell_angle_alpha 90.00
_cell_angle_beta 90.00
_cell_angle_gamma 120.00
_space_group_name_H-M_alt 'R 3 m'
_space_group_IT_number 160
_space_group_name_Hall 'R 3 -2"'
loop_
_atom_site_label
_atom_site_fract_x
_atom_site_fract_y
_atom_site_fract_z
La1 0.0000 0.0000 0.0000
La2 0.0000 0.0000 0.2356
In1 0.0000 0.0000 0.4802
Te1 0.0000 0.0000 0.7434

What did the third record say?
# ReH2Cl6 | Alexandria | PBE | optimized geometry
# - VASP energy (eV for the cell shown) = -140.293
data_ReH2Cl6
_chemical_formula_sum 'Re4 H8 Cl24'
_cell_length_a 14.222
_cell_length_b 12.175
_cell_length_c 6.103
_cell_angle_alpha 90.00
_cell_angle_beta 94.16
_cell_angle_gamma 90.00
_space_group_name_H-M_alt 'C 1 2/c 1'
_space_group_IT_number 15
_space_group_name_Hall '-C 2yc'
loop_
_atom_site_label
_atom_site_fract_x
_atom_site_fract_y
_atom_site_fract_z
Re1 0.000 0.083 0.250
H1 0.129 0.476 0.776
Cl1 0.094 0.066 0.591
Cl2 0.100 0.210 0.124
Cl3 0.132 0.414 0.603